First-principles (PBE-GGA) data for a relaxed Pr3DyTm2 crystal, as listed in Alexandria via LeMat-Bulk.

Structure (CIF):
```
data_Pr3DyTm2
_chemical_formula_sum 'Pr12 Dy4 Tm8'
_symmetry_space_group_name_H-M 'C m c m'
_symmetry_Int_Tables_number 63
_symmetry_space_group_name_Hall '-C 2c 2'
_cell_length_a 15.0921
_cell_length_b 10.0104
_cell_length_c 5.6688
_cell_angle_alpha 90.00
_cell_angle_beta 90.00
_cell_angle_gamma 90.00
loop_
_atom_site_label
_atom_site_type_symbol
_atom_site_fract_x
_atom_site_fract_y
_atom_site_fract_z
Pr1 Pr 0.0000 0.0867 0.2500
Pr2 Pr 0.2442 0.1330 0.2500
Dy1 Dy 0.0000 0.2757 0.7500
Tm1 Tm 0.1048 0.4027 0.2500
```

Computed properties:
energy of formation from the pure elements	277	meV/atom
total magnetization	0.0	μB/cell
polymorph energy (0 for the lowest one)	214	meV/atom

First-principles (PBE-GGA) data for a relaxed Pr2Dy3Tm9 crystal, as listed in Alexandria via LeMat-Bulk.

Structure (CIF):
```
data_Pr2Dy3Tm9
_chemical_formula_sum 'Pr4 Dy6 Tm18'
_symmetry_space_group_name_H-M 'I m m m'
_symmetry_Int_Tables_number 71
_symmetry_space_group_name_Hall '-I 2 2'
_cell_length_a 3.5495
_cell_length_b 14.9203
_cell_length_c 16.7769
_cell_angle_alpha 90.00
_cell_angle_beta 90.00
_cell_angle_gamma 90.00
loop_
_atom_site_label
_atom_site_type_symbol
_atom_site_fract_x
_atom_site_fract_y
_atom_site_fract_z
Pr1 Pr 0.0000 0.2296 0.0000
Dy1 Dy 0.0000 0.0000 0.1984
Dy2 Dy 0.0000 0.0000 0.5000
Tm1 Tm 0.0000 0.3036 0.3262
Tm2 Tm 0.0000 0.3909 0.1468
Tm3 Tm 0.0000 0.5000 0.5000
```

Computed properties:
energy of formation from the pure elements	71	meV/atom
total magnetization	0.0	μB/cell

First-principles (PBE-GGA) data for a relaxed PrDyTm2 crystal, as listed in Alexandria via LeMat-Bulk.

Structure (CIF):
```
data_PrDyTm2
_chemical_formula_sum 'Pr4 Dy4 Tm8'
_symmetry_space_group_name_H-M 'F m -3 m'
_symmetry_Int_Tables_number 225
_symmetry_space_group_name_Hall '-F 4 2 3'
_cell_length_a 8.0203
_cell_length_b 8.0203
_cell_length_c 8.0203
_cell_angle_alpha 90.00
_cell_angle_beta 90.00
_cell_angle_gamma 90.00
loop_
_atom_site_label
_atom_site_type_symbol
_atom_site_fract_x
_atom_site_fract_y
_atom_site_fract_z
Pr1 Pr 0.0000 0.0000 0.0000
Dy1 Dy 0.0000 0.0000 0.5000
Tm1 Tm 0.2500 0.2500 0.2500
```

Computed properties:
energy of formation from the pure elements	109	meV/atom
total magnetization	0.0	μB/cell
polymorph energy (0 for the lowest one)	84	meV/atom

First-principles (PBE-GGA) data for a relaxed Pr7Dy2Tm crystal, as listed in Alexandria via LeMat-Bulk.

Structure (CIF):
```
data_Pr7Dy2Tm
_chemical_formula_sum 'Pr14 Dy4 Tm2'
_symmetry_space_group_name_H-M 'C m m m'
_symmetry_Int_Tables_number 65
_symmetry_space_group_name_Hall '-C 2 2'
_cell_length_a 8.8908
_cell_length_b 16.7245
_cell_length_c 5.6514
_cell_angle_alpha 90.00
_cell_angle_beta 90.00
_cell_angle_gamma 90.00
loop_
_atom_site_label
_atom_site_type_symbol
_atom_site_fract_x
_atom_site_fract_y
_atom_site_fract_z
Pr1 Pr 0.0000 0.0000 0.0000
Pr2 Pr 0.0000 0.2824 0.5000
Pr3 Pr 0.1796 0.3880 0.0000
Dy1 Dy 0.0000 0.2055 0.0000
Tm1 Tm 0.0000 0.5000 0.5000
```

Computed properties:
energy of formation from the pure elements	626	meV/atom
total magnetization	0.0	μB/cell

First-principles (PBE-GGA) data for a relaxed PrDy2Tm2 crystal, as listed in Alexandria via LeMat-Bulk.

Structure (CIF):
```
data_PrDy2Tm2
_chemical_formula_sum 'Pr2 Dy4 Tm4'
_symmetry_space_group_name_H-M 'A m m 2'
_symmetry_Int_Tables_number 38
_symmetry_space_group_name_Hall 'A 2 -2'
_cell_length_a 3.5017
_cell_length_b 5.7063
_cell_length_c 16.3507
_cell_angle_alpha 90.00
_cell_angle_beta 90.00
_cell_angle_gamma 90.00
loop_
_atom_site_label
_atom_site_type_symbol
_atom_site_fract_x
_atom_site_fract_y
_atom_site_fract_z
Pr1 Pr 0.0000 0.0000 0.0000
Dy1 Dy 0.0000 0.0000 0.3813
Dy2 Dy 0.5000 0.0000 0.5741
Tm1 Tm 0.0000 0.0000 0.7620
Tm2 Tm 0.5000 0.0000 0.1936
```

Computed properties:
energy of formation from the pure elements	124	meV/atom
total magnetization	0.0	μB/cell
polymorph energy (0 for the lowest one)	39	meV/atom

First-principles (PBE-GGA) data for a relaxed Pr2DyTm12 crystal, as listed in Alexandria via LeMat-Bulk.

Structure (CIF):
```
data_Pr2DyTm12
_chemical_formula_sum 'Pr2 Dy1 Tm12'
_symmetry_space_group_name_H-M 'P 1 2/m 1'
_symmetry_Int_Tables_number 10
_symmetry_space_group_name_Hall '-P 2y'
_cell_length_a 3.5198
_cell_length_b 5.5441
_cell_length_c 24.2150
_cell_angle_alpha 90.00
_cell_angle_beta 94.15
_cell_angle_gamma 90.00
loop_
_atom_site_label
_atom_site_type_symbol
_atom_site_fract_x
_atom_site_fract_y
_atom_site_fract_z
Pr1 Pr 0.1340 0.0000 0.2724
Dy1 Dy 0.5000 0.0000 0.0000
Tm1 Tm 0.0354 0.5000 0.0743
Tm2 Tm 0.2228 0.5000 0.4459
Tm3 Tm 0.2852 0.0000 0.5704
Tm4 Tm 0.3358 0.5000 0.6678
Tm5 Tm 0.4023 0.5000 0.7999
Tm6 Tm 0.4340 0.0000 0.8649
```

Computed properties:
energy of formation from the pure elements	118	meV/atom
total magnetization	0.0	μB/cell